1.
AlIrRu2: optimized geometry, GGA-PBE.

Computed properties:
calculated density: 12.15 g/cm³
total magnetization: 0.0 μB per cell
formation energy: 0.40 eV/f.u.

a b c (Å): 2.800 4.698 8.752
angles (deg): 90.00 90.00 90.00
Space group Cmmm (No. 65)
Unique sites:
Al 0.000 0.000 0.000
Ir 0.000 0.000 0.500
Ru 0.000 0.500 0.239

2.
AlIrRu2: optimized geometry, GGA-PBE.

Computed properties:
calculated density: 12.58 g/cm³
total magnetization: 0.0 μB per cell
formation energy: -0.99 eV/f.u.

a b c (Å): 2.829 2.829 6.949
angles (deg): 90.00 90.00 90.00
Space group P4/mmm (No. 123)
Unique sites:
Al 0.000 0.000 0.000
Ir 0.000 0.000 0.500
Ru 0.500 0.500 0.236

3.
Al5IrRu4: optimized geometry, GGA-PBE.

Computed properties:
calculated density: 8.94 g/cm³
total magnetization: 0.0 μB per cell
formation energy: -7.35 eV/f.u.

a b c (Å): 3.007 3.007 15.024
angles (deg): 90.00 90.00 90.00
Space group P4/mmm (No. 123)
Unique sites:
Al 0.000 0.000 0.000
Al 0.000 0.000 0.200
Al 0.000 0.000 0.397
Ir 0.500 0.500 0.500
Ru 0.500 0.500 0.100
Ru 0.500 0.500 0.300

4.
AlIr2Ru: optimized geometry, GGA-PBE.

Computed properties:
calculated density: 14.93 g/cm³
total magnetization: 0.0 μB per cell
formation energy: -0.92 eV/f.u.

a b c (Å): 2.7683 2.7683 25.7629
angles (deg): 90.00 90.00 120.00
Space group R3m (No. 160, hexagonal axes)
Unique sites:
Al 0.0000 0.0000 0.0000
Ir 0.0000 0.0000 0.2535
Ir 0.0000 0.0000 0.4985
Ru 0.0000 0.0000 0.7483

5.
AlIr2Ru: optimized geometry, GGA-PBE.

Computed properties:
calculated density: 14.99 g/cm³
total magnetization: 0.0 μB per cell
formation energy: -1.40 eV/f.u.

a b c (Å): 3.851 3.851 7.655
angles (deg): 90.00 90.00 90.00
Space group I-4m2 (No. 119)
Unique sites:
Al 0.000 0.000 0.000
Ir 0.000 0.000 0.500
Ir 0.000 0.500 0.750
Ru 0.000 0.500 0.250

6.
AlIrRu2: optimized geometry, GGA-PBE.

Computed properties:
calculated density: 12.48 g/cm³
total magnetization: 0.0 μB per cell
formation energy: -0.85 eV/f.u.

a b c (Å): 2.897 4.404 8.785
angles (deg): 90.00 90.00 90.00
Space group Imm2 (No. 44)
Unique sites:
Al 0.000 0.000 0.000
Ir 0.000 0.500 0.730
Ru 0.000 0.000 0.503
Ru 0.000 0.500 0.270

Question: total magnetization of number 5 (AlIr2Ru)?
Answer: 0.0 μB per cell

What did the sixth record say?
AlIrRu2: optimized geometry, GGA-PBE.

Computed properties:
calculated density: 12.48 g/cm³
total magnetization: 0.0 μB per cell
formation energy: -0.85 eV/f.u.

a b c (Å): 2.897 4.404 8.785
angles (deg): 90.00 90.00 90.00
Space group Imm2 (No. 44)
Unique sites:
Al 0.000 0.000 0.000
Ir 0.000 0.500 0.730
Ru 0.000 0.000 0.503
Ru 0.000 0.500 0.270

Question: Which of these has the highest calculated density?
Answer: number 5

Question: calculated density of number 2 (AlIrRu2)?
Answer: 12.58 g/cm³